Model 1:
VASP calculation (PBE) on crystalline BeCdSn2 at its relaxed geometry.

Calculated values
DOS(E_F)   1.94 states/eV per cell
V   22.34 Å³ per atom
Total moment   0.000 μB per atom
Space group   No. 225

abc: 5.0184 5.0184 5.0184
angles: 60.00 60.00 60.00
Closest atoms and distances in Å follow each position.
Fractional positions:
Sn: 0.2500 0.2500 0.2500  4 Cd 3.07, 4 Be 3.07
Sn: 0.7500 0.7500 0.7500  4 Be 3.07, 4 Cd 3.07
Cd: 0.5000 0.5000 0.5000  8 Sn 3.07
Be: 0.0000 0.0000 0.0000  8 Sn 3.07

=====

Model 2:
VASP calculation (PBE) on crystalline BeCdSn2 at its relaxed geometry.

Calculated values
DOS(E_F)   1.19 states/eV per cell
V   23.31 Å³ per atom
Total moment   0.000 μB per atom
Space group   No. 122

abc: 8.7363 8.7363 6.6431
angles: 48.89 48.89 90.00
Closest atoms and distances in Å follow each position.
Fractional positions:
Sn: 0.8750 0.7686 0.7500  2 Be 2.59
Sn: 0.3750 0.4814 0.7500  2 Be 2.59
Sn: 0.5186 0.1250 0.2500  2 Be 2.59
Sn: 0.2314 0.6250 0.2500  2 Be 2.59
Cd: 0.7500 0.2500 0.5000  2 Be 2.44
Cd: 0.0000 0.0000 0.0000  2 Be 2.44
Be: 0.2500 0.7500 0.5000  2 Cd 2.44, 4 Sn 2.59
Be: 0.5000 0.5000 0.0000  2 Cd 2.44, 4 Sn 2.59

=====

Energy ordering: model 2 at the bottom, the next structure 251 meV/atom above.

=====

Model 1:
VASP calculation (PBE) on crystalline Sr2Be2Cd at its relaxed geometry.

Calculated values
DOS(E_F)   5.07 states/eV per cell
V   26.06 Å³ per atom
Total moment   0.000 μB per atom
Space group   No. 127

abc: 7.7371 7.7371 4.3526
angles: 90.00 90.00 90.00
Closest atoms and distances in Å follow each position.
Fractional positions:
Sr: 0.3102 0.1898 0.5000  6 Be 3.19, 4 Cd 3.56
Sr: 0.8102 0.3102 0.5000  6 Be 3.19, 4 Cd 3.56
Sr: 0.1898 0.6898 0.5000  6 Be 3.19, 4 Cd 3.56
Sr: 0.6898 0.8102 0.5000  6 Be 3.19, 4 Cd 3.56
Cd: 0.0000 0.0000 0.0000  4 Be 3.21, 8 Sr 3.56
Cd: 0.5000 0.5000 0.0000  4 Be 3.21, 8 Sr 3.56
Be: 0.4029 0.9029 0.0000  1 Be 2.13
Be: 0.5971 0.0971 0.0000  1 Be 2.13
Be: 0.9029 0.5971 0.0000  1 Be 2.13
Be: 0.0971 0.4029 0.0000  1 Be 2.13

=====

Model 2:
VASP calculation (PBE) on crystalline Sr2Be2Cd at its relaxed geometry.

Calculated values
DOS(E_F)   0.17 states/eV per cell
V   26.29 Å³ per atom
Total moment   0.000 μB per atom
Space group   No. 139

abc: 6.0179 6.0179 5.5928
angles: 57.45 57.45 90.00
Closest atoms and distances in Å follow each position.
Fractional positions:
Be: 0.3619 0.3619 0.2761  1 Be 2.00
Be: 0.6381 0.6381 0.7239  1 Be 2.00
Sr: 0.7500 0.2500 0.5000  4 Be 3.12
Sr: 0.2500 0.7500 0.5000  4 Be 3.12
Cd: 0.0000 0.0000 0.0000  2 Be 2.63

=====

Energy ordering: model 1 at the bottom, the next structure 22 meV/atom above.

=====

Model 1:
VASP calculation (PBE) on crystalline SrBeCd3 at its relaxed geometry.

Calculated values
DOS(E_F)   5.17 states/eV per cell
V   55.46 Å³ per atom
Total moment   0.000 μB per atom
Space group   No. 221

abc: 6.5209 6.5209 6.5209
angles: 90.00 90.00 90.00
Closest atoms and distances in Å follow each position.
Fractional positions:
Sr: 0.0000 0.0000 0.0000  6 Cd 3.26
Cd: 0.0000 0.0000 0.5000  2 Sr 3.26
Cd: 0.5000 0.0000 0.0000  2 Sr 3.26
Cd: 0.0000 0.5000 0.0000  2 Sr 3.26
Be: 0.5000 0.5000 0.5000  12 Cd 4.61

=====

Model 2:
VASP calculation (PBE) on crystalline SrBeCd3 at its relaxed geometry.

Calculated values
DOS(E_F)   2.55 states/eV per cell
V   23.76 Å³ per atom
Total moment   0.000 μB per atom
Space group   No. 221

abc: 4.9158 4.9158 4.9158
angles: 90.00 90.00 90.00
Closest atoms and distances in Å follow each position.
Fractional positions:
Sr: 0.5000 0.5000 0.5000  12 Cd 3.48
Be: 0.0000 0.0000 0.0000  6 Cd 2.46
Cd: 0.0000 0.0000 0.5000  2 Be 2.46
Cd: 0.0000 0.5000 0.0000  2 Be 2.46
Cd: 0.5000 0.0000 0.0000  2 Be 2.46

=====

Energy ordering: model 2 at the bottom, the next structure 1144 meV/atom above.